[1]
Compound: Pa2SO4
Source: Alexandria
Functional: PBE
Structure: relaxed

Lattice parameters (Å, degrees): 7.8194 7.8194 7.8194 28.64 28.64 28.64
Positions (direct):
Pa1 0.2371 0.2371 0.2371
Pa2 0.7629 0.7629 0.7629
S1 0.0000 0.0000 0.0000
O1 0.1384 0.1384 0.1384
O2 0.4223 0.4223 0.4223
O3 0.5777 0.5777 0.5777
O4 0.8616 0.8616 0.8616

Computed properties:
For the electronic total energy, the calculation gives -9.29 eV per atom.


[2]
Compound: Ni6SnTe2
Source: Alexandria
Functional: PBE
Structure: relaxed

Lattice parameters (Å, degrees): 10.0235 10.0235 10.0235 158.13 158.13 31.13
Positions (direct):
Ni1 0.0000 0.0000 0.0000
Ni2 0.0939 0.5939 0.5000
Ni3 0.3076 0.3076 0.0000
Ni4 0.4046 0.9046 0.5000
Ni5 0.5939 0.0939 0.5000
Ni6 0.9046 0.4046 0.5000
Sn1 0.4987 0.4987 0.0000
Te1 0.1774 0.1774 0.0000
Te2 0.8147 0.8147 0.0000

Computed properties:
For the electronic total energy, the calculation gives -5.18 eV per atom.


[3]
Compound: LaTiSb2
Source: Alexandria
Functional: PBE
Structure: relaxed

Lattice parameters (Å, degrees): 5.2709 5.2709 5.2709 60.00 60.00 60.00
Positions (direct):
La1 0.0000 0.0000 0.0000
Ti1 0.5000 0.5000 0.5000
Sb1 0.2500 0.2500 0.2500
Sb2 0.7500 0.7500 0.7500

Computed properties:
For the relative energy among the computed polymorphs, the calculation gives 256.0 meV per atom. For the electronic total energy, the calculation gives -5.77 eV per atom.


[4]
Compound: ReTe2SN
Source: Alexandria
Functional: PBE
Structure: relaxed

Lattice parameters (Å, degrees): 5.3297 5.3297 3.7417 90.00 90.00 90.00
Positions (direct):
Re1 0.0000 0.0000 0.0000
Te1 0.0000 0.5000 0.0000
Te2 0.5000 0.0000 0.0000
S1 0.5000 0.5000 0.5000
N1 0.0000 0.0000 0.5000

Computed properties:
For the relative energy among the computed polymorphs, the calculation gives 0.0 meV per atom. For the electronic total energy, the calculation gives -5.73 eV per atom.


| no. | total moment (Bohr magnetons per cell) |
| --- | --- |
| 1 | 0.00 |
| 2 | 0.00 |
| 3 | 1.74 |
| 4 | 0.00 |